Below is a relaxed structure of Li4MoO2, with properties calculated at the PBE with a Hubbard U level.

space group = I4/mmm (139)
E = -3.346 eV/atom

a b c (Å): 4.593 4.593 6.881
angles (deg): 70.50 70.50 90.00
Site moments in Bohr magnetons follow the coordinates.
Fractional coordinates of all 7 atoms:
O  0.611  0.611  0.778  0.17
O  0.389  0.389  0.222  0.17
Li  0.000  0.500  0.000  0.13
Li  0.500  0.000  0.000  0.13
Li  0.756  0.756  0.488  0.02
Li  0.244  0.244  0.512  0.02
Mo  0.000  0.000  0.000  4.40